Rb3DyBi2O6 | PBE-GGA | optimized geometry

Summary:
electronic total energy	-66.022	eV/cell
V	18.55	A^3/atom
SG	No. 12
formation energy without anion corrections	-1.750	eV/atom
total moment	0.0	μB per cell

Geometry as POSCAR:
```
Rb3DyBi2O6
1.0
-0.882 5.294 3.203
-1.034 -5.521 2.743
6.899 -0.099 0.029
Rb Dy Bi O
3 1 2 6
direct
0.169 0.831 0.500
0.831 0.169 0.500
0.500 0.500 0.500
0.000 0.000 0.000
0.333 0.667 0.000
0.667 0.333 0.000
0.938 0.619 0.815
0.743 0.743 0.186
0.062 0.381 0.185
0.619 0.938 0.815
0.257 0.257 0.814
0.381 0.062 0.185
```